Material: Ce3TcH
Method: DFT, GGA-PBE
State: relaxed

Cell: 8.4767 6.1678 8.7092 Å, 90.00 118.49 90.00°
Element x y z (fractional)
Ce 0.0138 0.0326 0.3075
Ce 0.0138 0.4674 0.8075
Ce 0.3233 0.2153 0.1698
Ce 0.3233 0.2847 0.6698
Ce 0.4116 0.7129 0.4647
Ce 0.4116 0.7871 0.9647
Ce 0.5884 0.2129 0.0353
Ce 0.5884 0.2871 0.5353
Ce 0.6767 0.7153 0.3302
Ce 0.6767 0.7847 0.8302
Ce 0.9862 0.5326 0.1925
Ce 0.9862 0.9674 0.6925
Tc 0.1239 0.7084 0.5772
Tc 0.1239 0.7916 0.0772
Tc 0.8761 0.2084 0.9228
Tc 0.8761 0.2916 0.4228
H 0.3342 0.0794 0.4344
H 0.3342 0.4206 0.9344
H 0.6658 0.5794 0.0656
H 0.6658 0.9206 0.5656

Calculated values
As for the space group: P2_1/c (14). The value obtained for the density of states at the Fermi level is 35.176 states/eV per cell. The value obtained for the calculated total energy is -6.428 eV/atom.